# 1
DFT (PBE-GGA) results for crystalline PPd2Au at its relaxed geometry.

Cell and atoms, written as POSCAR:
```
PPd2Au
1.0
7.092 0.000 0.000
0.000 7.092 0.000
3.546 3.546 2.632
P Au Pd
2 2 4
Direct
0.500 0.500 0.000
0.250 0.750 0.500
0.000 0.000 0.000
0.750 0.250 0.500
0.564 0.125 0.250
0.186 0.625 0.250
0.375 0.436 0.750
0.875 0.814 0.750
```

Output
E in Ry per atom: -0.363
DFT formation energy in meV per atom: -166
Calculated volume in Å³ per cell: 132.4
ρ in g/cm³: 11.057
Energy above the most stable polymorph in this dataset in eV/atom: 0.042
Magnetic moment in μB/atom: 0.00

# 2
DFT (PBE-GGA) results for crystalline P2PdAu2 at its relaxed geometry.

Cell and atoms, written as POSCAR:
```
P2PdAu2
1.0
-2.879 0.739 3.572
1.535 -5.252 2.347
4.362 2.212 4.462
P Pd Au
4 2 4
Direct
0.179 0.158 0.895
0.815 0.491 0.370
0.255 0.008 0.601
0.740 0.694 0.635
0.307 0.363 0.384
0.782 0.089 0.493
0.651 0.090 0.012
0.214 0.577 0.756
0.123 0.811 0.164
0.650 0.583 0.023
```

Output
E in Ry per atom: -0.339
DFT formation energy in meV per atom: -99
Calculated volume in Å³ per cell: 178.9
ρ in g/cm³: 10.440
Energy above the most stable polymorph in this dataset in eV/atom: 0.002
Magnetic moment in μB/atom: 0.00

# 3
DFT (PBE-GGA) results for crystalline P2PdAu2 at its relaxed geometry.

Cell and atoms, written as POSCAR:
```
P2PdAu2
1.0
-2.774 2.185 -1.857
-0.856 -6.314 -6.150
-1.378 -4.105 4.407
P Pd Au
4 2 4
Direct
0.772 0.000 0.289
0.228 0.000 0.711
0.772 0.500 0.789
0.228 0.500 0.211
0.000 0.000 0.000
0.000 0.500 0.500
0.500 0.250 0.750
0.500 0.250 0.250
0.500 0.750 0.250
0.500 0.750 0.750
```

Output
E in Ry per atom: -0.339
DFT formation energy in meV per atom: -101
Calculated volume in Å³ per cell: 183.6
ρ in g/cm³: 10.171
Energy above the most stable polymorph in this dataset in eV/atom: 0.000
Magnetic moment in μB/atom: 0.00

# 4
DFT (PBE-GGA) results for crystalline P2Pd8Au at its relaxed geometry.

Cell and atoms, written as POSCAR:
```
P2Pd8Au
1.0
-1.315 3.262 2.598
-4.456 0.272 -2.598
0.491 -10.951 3.144
P Pd Au
2 8 1
Direct
0.957 0.814 0.628
0.043 0.186 0.372
0.728 0.822 0.152
0.272 0.670 0.848
0.564 0.850 0.700
0.436 0.150 0.300
0.728 0.330 0.152
0.272 0.178 0.848
0.877 0.704 0.408
0.123 0.296 0.592
0.000 0.000 0.000
```

Output
E in Ry per atom: -0.372
DFT formation energy in meV per atom: -2
Calculated volume in Å³ per cell: 204.3
ρ in g/cm³: 9.026
Energy above the most stable polymorph in this dataset in eV/atom: 0.352
Magnetic moment in μB/atom: 0.00

# 5
DFT (PBE-GGA) results for crystalline PPd2Au at its relaxed geometry.

Cell and atoms, written as POSCAR:
```
PPd2Au
1.0
3.002 0.000 0.000
1.501 2.600 0.000
1.501 0.867 8.093
P Pd Au
1 2 1
Direct
0.667 0.667 0.999
0.070 0.070 0.789
0.263 0.263 0.211
0.500 0.500 0.501
```

Output
E in Ry per atom: -0.366
DFT formation energy in meV per atom: -208
Calculated volume in Å³ per cell: 63.2
ρ in g/cm³: 11.588
Energy above the most stable polymorph in this dataset in eV/atom: 0.000
Magnetic moment in μB/atom: 0.00

# 6
DFT (PBE-GGA) results for crystalline PPd4Au2 at its relaxed geometry.

Cell and atoms, written as POSCAR:
```
PPd4Au2
1.0
4.477 0.000 0.000
0.000 4.477 0.000
2.239 2.239 6.648
P Au Pd
1 2 4
Direct
0.000 0.000 0.000
0.631 0.631 0.739
0.369 0.369 0.261
0.833 0.833 0.335
0.167 0.167 0.665
0.000 0.500 0.000
0.500 0.000 0.000
```

Output
E in Ry per atom: -0.339
DFT formation energy in meV per atom: 61
Calculated volume in Å³ per cell: 133.3
ρ in g/cm³: 10.600
Magnetic moment in μB/atom: 0.00

# 7
DFT (PBE-GGA) results for crystalline P2PdAu2 at its relaxed geometry.

Cell and atoms, written as POSCAR:
```
P2PdAu2
1.0
5.728 0.002 0.006
-0.042 5.770 0.000
-2.127 -0.666 5.505
P Pd Au
4 2 4
Direct
0.393 0.339 0.800
0.607 0.661 0.200
0.186 0.533 0.494
0.814 0.467 0.506
0.750 0.600 0.874
0.250 0.400 0.126
0.272 0.936 0.633
0.728 0.064 0.367
0.785 0.101 0.892
0.215 0.899 0.108
```

Output
E in Ry per atom: -0.338
DFT formation energy in meV per atom: -90
Calculated volume in Å³ per cell: 182.0
ρ in g/cm³: 10.261
Energy above the most stable polymorph in this dataset in eV/atom: 0.011
Magnetic moment in μB/atom: 0.00

# 8
DFT (PBE-GGA) results for crystalline PPd3Au at its relaxed geometry.

Cell and atoms, written as POSCAR:
```
PPd3Au
1.0
4.468 -0.531 0.035
-0.669 4.627 2.747
-0.300 -0.699 7.616
P Pd Au
2 6 2
Direct
0.933 0.810 0.248
0.747 0.965 0.738
0.820 0.298 0.416
0.293 0.121 0.672
0.405 0.679 0.341
0.897 0.704 0.579
0.761 0.141 0.973
0.932 0.651 0.010
0.300 0.232 0.224
0.358 0.520 0.815
```

Output
E in Ry per atom: -0.378
DFT formation energy in meV per atom: -289
Calculated volume in Å³ per cell: 163.8
ρ in g/cm³: 11.093
Energy above the most stable polymorph in this dataset in eV/atom: 0.000
Magnetic moment in μB/atom: 0.00

# 9
DFT (PBE-GGA) results for crystalline P2PdAu2 at its relaxed geometry.

Cell and atoms, written as POSCAR:
```
P2PdAu2
1.0
-1.417 -1.281 3.431
3.482 -2.830 0.382
2.910 3.846 1.978
P Pd Au
2 1 2
Direct
0.522 0.000 0.288
0.478 0.000 0.712
0.000 0.000 0.000
0.747 0.500 0.250
0.253 0.500 0.750
```

Output
E in Ry per atom: -0.337
DFT formation energy in meV per atom: -73
Calculated volume in Å³ per cell: 91.6
ρ in g/cm³: 10.190
Energy above the most stable polymorph in this dataset in eV/atom: 0.028
Magnetic moment in μB/atom: 0.00

# 10
DFT (PBE-GGA) results for crystalline PPd3Au at its relaxed geometry.

Cell and atoms, written as POSCAR:
```
PPd3Au
1.0
4.468 0.000 0.000
0.000 4.468 0.000
0.000 0.000 4.468
P Au Pd
1 1 3
Direct
0.000 0.000 0.000
0.500 0.500 0.500
0.000 0.500 0.000
0.000 0.000 0.500
0.500 0.000 0.000
```

Output
E in Ry per atom: -0.362
DFT formation energy in meV per atom: -79
Calculated volume in Å³ per cell: 89.2
ρ in g/cm³: 10.187
Energy above the most stable polymorph in this dataset in eV/atom: 0.211
Magnetic moment in μB/atom: 0.00

# 11
DFT (PBE-GGA) results for crystalline P2PdAu2 at its relaxed geometry.

Cell and atoms, written as POSCAR:
```
P2PdAu2
1.0
5.957 0.000 -0.012
0.000 5.826 0.000
-4.319 0.000 5.706
P Pd Au
4 2 4
Direct
0.516 0.185 0.003
0.516 0.815 0.003
0.516 0.685 0.503
0.516 0.315 0.503
0.646 0.000 0.364
0.646 0.500 0.864
0.026 0.247 0.297
0.026 0.753 0.297
0.026 0.747 0.797
0.026 0.253 0.797
```

Output
E in Ry per atom: -0.339
DFT formation energy in meV per atom: -92
Calculated volume in Å³ per cell: 197.7
ρ in g/cm³: 9.444
Energy above the most stable polymorph in this dataset in eV/atom: 0.009
Magnetic moment in μB/atom: 0.00

# 12
DFT (PBE-GGA) results for crystalline PPd8Au2 at its relaxed geometry.

Cell and atoms, written as POSCAR:
```
PPd8Au2
1.0
4.489 0.004 -1.048
-0.393 5.458 -1.706
-0.607 -0.702 7.553
P Pd Au
1 8 2
Direct
0.500 0.000 0.000
0.629 0.384 0.257
0.372 0.128 0.744
0.186 0.186 0.372
0.999 0.755 0.000
0.814 0.814 0.628
0.628 0.872 0.256
0.371 0.616 0.743
0.001 0.245 0.000
0.186 0.686 0.372
0.814 0.314 0.628
```

Output
E in Ry per atom: -0.370
DFT formation energy in meV per atom: -176
Calculated volume in Å³ per cell: 176.0
ρ in g/cm³: 12.044
Magnetic moment in μB/atom: 0.00

# 13
DFT (PBE-GGA) results for crystalline P2Pd2Au at its relaxed geometry.

Cell and atoms, written as POSCAR:
```
P2Pd2Au
1.0
-1.906 3.056 6.202
5.822 -2.761 3.149
1.598 2.516 -0.748
P Au Pd
4 2 4
Direct
0.339 0.839 0.000
0.839 0.661 0.000
0.661 0.161 0.000
0.161 0.339 0.000
0.000 0.000 0.000
0.500 0.500 0.000
0.141 0.641 0.500
0.641 0.859 0.500
0.859 0.359 0.500
0.359 0.141 0.500
```

Output
E in Ry per atom: -0.360
DFT formation energy in meV per atom: 1
Calculated volume in Å³ per cell: 158.0
ρ in g/cm³: 9.913
Energy above the most stable polymorph in this dataset in eV/atom: 0.000
Magnetic moment in μB/atom: 0.00

# 14
DFT (PBE-GGA) results for crystalline P2PdAu2 at its relaxed geometry.

Cell and atoms, written as POSCAR:
```
P2PdAu2
1.0
-1.260 4.096 -1.555
-3.169 0.091 -3.835
-4.577 1.591 2.278
P Pd Au
2 1 2
Direct
0.720 0.882 0.301
0.787 0.513 0.618
0.393 0.337 0.551
0.118 0.064 0.343
0.250 0.689 0.955
```

Output
E in Ry per atom: -0.338
DFT formation energy in meV per atom: -84
Calculated volume in Å³ per cell: 100.7
ρ in g/cm³: 9.272
Energy above the most stable polymorph in this dataset in eV/atom: 0.017
Magnetic moment in μB/atom: 0.00

# 15
DFT (PBE-GGA) results for crystalline PPd2Au at its relaxed geometry.

Cell and atoms, written as POSCAR:
```
PPd2Au
1.0
-1.645 -2.095 1.370
2.502 -1.335 0.962
-0.144 3.866 5.740
P Au Pd
1 1 2
Direct
0.500 0.500 0.000
0.500 0.500 0.500
0.000 0.000 0.790
0.000 0.000 0.210
```

Output
E in Ry per atom: -0.364
DFT formation energy in meV per atom: -188
Calculated volume in Å³ per cell: 62.1
ρ in g/cm³: 11.789
Energy above the most stable polymorph in this dataset in eV/atom: 0.020
Magnetic moment in μB/atom: 0.00

# 16
DFT (PBE-GGA) results for crystalline PPd3Au at its relaxed geometry.

Cell and atoms, written as POSCAR:
```
PPd3Au
1.0
-4.578 -1.648 -0.062
1.902 -5.173 -2.915
-0.154 0.190 6.229
P Pd Au
2 6 2
Direct
0.000 0.000 0.000
0.500 0.000 0.000
0.750 0.631 0.816
0.250 0.815 0.631
0.250 0.369 0.184
0.750 0.185 0.369
0.250 0.816 0.184
0.750 0.185 0.816
0.750 0.667 0.333
0.250 0.333 0.667
```

Output
E in Ry per atom: -0.367
DFT formation energy in meV per atom: -137
Calculated volume in Å³ per cell: 163.8
ρ in g/cm³: 11.098
Energy above the most stable polymorph in this dataset in eV/atom: 0.153
Magnetic moment in μB/atom: 0.00

# 17
DFT (PBE-GGA) results for crystalline P2Pd8Au at its relaxed geometry.

Cell and atoms, written as POSCAR:
```
P2Pd8Au
1.0
-3.687 0.699 -2.399
3.807 -2.199 -4.828
-2.252 -4.886 3.701
P Pd Au
2 8 1
Direct
0.000 0.321 0.679
0.000 0.679 0.321
0.909 0.934 0.672
0.909 0.672 0.934
0.303 0.613 0.613
0.500 0.748 0.252
0.500 0.252 0.748
0.697 0.387 0.387
0.091 0.328 0.066
0.091 0.066 0.328
0.500 0.000 0.000
```

Output
E in Ry per atom: -0.398
DFT formation energy in meV per atom: -354
Calculated volume in Å³ per cell: 171.2
ρ in g/cm³: 10.767
Energy above the most stable polymorph in this dataset in eV/atom: 0.000
Magnetic moment in μB/atom: 0.00

# 18
DFT (PBE-GGA) results for crystalline PPd2Au at its relaxed geometry.

Cell and atoms, written as POSCAR:
```
PPd2Au
1.0
0.000 3.157 3.157
3.157 0.000 3.157
3.157 3.157 0.000
P Au Pd
1 1 2
Direct
0.000 0.000 0.000
0.500 0.500 0.500
0.250 0.250 0.250
0.750 0.750 0.750
```

Output
E in Ry per atom: -0.351
DFT formation energy in meV per atom: -6
Calculated volume in Å³ per cell: 62.9
ρ in g/cm³: 11.632
Energy above the most stable polymorph in this dataset in eV/atom: 0.202
Magnetic moment in μB/atom: 0.00

# 19
DFT (PBE-GGA) results for crystalline P2PdAu2 at its relaxed geometry.

Cell and atoms, written as POSCAR:
```
P2PdAu2
1.0
-2.290 -1.499 -3.526
4.576 -3.733 -1.644
-2.107 -6.758 2.475
P Pd Au
4 2 4
Direct
0.968 0.964 0.371
0.552 0.522 0.956
0.935 0.324 0.375
0.559 0.232 0.833
0.027 0.538 0.059
0.463 0.440 0.292
0.307 0.943 0.081
0.135 0.288 0.661
0.888 0.764 0.709
0.449 0.849 0.467
```

Output
E in Ry per atom: -0.337
DFT formation energy in meV per atom: -73
Calculated volume in Å³ per cell: 195.1
ρ in g/cm³: 9.571
Energy above the most stable polymorph in this dataset in eV/atom: 0.028
Magnetic moment in μB/atom: 0.00

# 20
DFT (PBE-GGA) results for crystalline P2PdAu2 at its relaxed geometry.

Cell and atoms, written as POSCAR:
```
P2PdAu2
1.0
6.780 0.000 0.000
0.000 6.780 0.000
0.000 0.000 3.729
P Au Pd
4 4 2
Direct
0.326 0.826 0.000
0.826 0.674 0.000
0.674 0.174 0.000
0.174 0.326 0.000
0.147 0.647 0.500
0.647 0.853 0.500
0.853 0.353 0.500
0.353 0.147 0.500
0.000 0.000 0.000
0.500 0.500 0.000
```

Output
E in Ry per atom: -0.318
DFT formation energy in meV per atom: 186
Calculated volume in Å³ per cell: 171.4
ρ in g/cm³: 10.895
Energy above the most stable polymorph in this dataset in eV/atom: 0.287
Magnetic moment in μB/atom: 0.00